A relaxed structure of BeAgHg2, computed with PBE.

Lattice parameters (Å, degrees): 4.6983 4.6983 4.6983 60.00 60.00 60.00
Fractional positions:
Be  0.0000  0.0000  0.0000
Ag  0.2500  0.2500  0.2500
Hg  0.5000  0.5000  0.5000
Hg  0.7500  0.7500  0.7500

## Properties
- Uncorrected energy: -1.337 eV per atom